Mg2SiPd3 | PBE | optimized geometry

For the total energy, the calculation gives -4.7073 eV/atom. The total magnetization is 0.00 Bohr magnetons per cell. As for the uncorrected formation energy: -676 meV per atom. The crystal system is orthorhombic.

The space group is Cmmm (No. 65) and the conventional cell measures 4.3138, 13.0233 and 6.5954 Å, with angles of 90.00, 90.00 and 90.00 degrees. The inequivalent atoms are Mg at (0.0000, 0.0000, 0.0000), Mg at (0.0000, 0.0000, 0.5000), Mg at (0.0000, 0.3336, 0.0000), Si at (0.0000, 0.3436, 0.5000), Pd at (0.0000, 0.1763, 0.2840) and Pd at (0.0000, 0.5000, 0.2632).